Run one
! PBE-GGA BaSeBr2, relaxed; values from VASP
! Symmetry: No. 6
! DOS at the Fermi energy in states/eV/atom: 0.0173
&SYSTEM
  ibrav = 0, nat = 4, ntyp = 3
/
ATOMIC_SPECIES
Ba 137.33 Ba.upf
Se 78.96 Se.upf
Br 79.90 Br.upf
ATOMIC_POSITIONS crystal
Ba 0.000 0.000 0.000
Se 0.847 0.500 0.246
Br 0.344 0.500 0.102
Br 0.400 0.000 0.613
CELL_PARAMETERS angstrom
5.155 0.000 0.000
0.000 5.905 0.000
-1.351 0.000 5.006


Run two
! PBE-GGA BaSeBr2, relaxed; values from VASP
! Symmetry: No. 216
! DOS at the Fermi energy in states/eV/atom: 0.7127
&SYSTEM
  ibrav = 0, nat = 4, ntyp = 3
/
ATOMIC_SPECIES
Ba 137.33 Ba.upf
Se 78.96 Se.upf
Br 79.90 Br.upf
ATOMIC_POSITIONS crystal
Ba 0.000 0.000 0.000
Se 0.750 0.750 0.750
Br 0.250 0.250 0.250
Br 0.500 0.500 0.500
CELL_PARAMETERS angstrom
0.000 3.998 3.998
3.998 0.000 3.998
3.998 3.998 0.000


Run three
! PBE-GGA BaSeBr2, relaxed; values from VASP
! Symmetry: No. 12
! DOS at the Fermi energy in states/eV/atom: 0.0141
&SYSTEM
  ibrav = 0, nat = 4, ntyp = 3
/
ATOMIC_SPECIES
Ba 137.33 Ba.upf
Se 78.96 Se.upf
Br 79.90 Br.upf
ATOMIC_POSITIONS crystal
Ba 0.000 0.000 0.000
Se 0.500 0.500 0.000
Br 0.000 0.500 0.500
Br 0.500 0.000 0.500
CELL_PARAMETERS angstrom
3.654 -4.974 0.000
3.654 4.974 0.000
-3.646 0.000 3.860


Run four
! PBE-GGA BaSeBr2, relaxed; values from VASP
! Symmetry: No. 122
! DOS at the Fermi energy in states/eV/atom: 0.3230
&SYSTEM
  ibrav = 0, nat = 8, ntyp = 3
/
ATOMIC_SPECIES
Ba 137.33 Ba.upf
Se 78.96 Se.upf
Br 79.90 Br.upf
ATOMIC_POSITIONS crystal
Ba 0.000 0.000 0.000
Ba 0.750 0.250 0.500
Se 0.250 0.750 0.500
Se 0.500 0.500 0.000
Br 0.155 0.625 0.030
Br 0.375 0.405 0.530
Br 0.595 0.125 0.970
Br 0.875 0.845 0.470
CELL_PARAMETERS angstrom
-2.600 2.600 10.318
2.600 -2.600 10.318
2.600 2.600 -10.318


Going by the energies, run one is most stable and the next is 158 meV per atom up.


Run one
! PBE-GGA BaSeBr4, relaxed; values from VASP
! Symmetry: No. 216
! DOS at the Fermi energy in states/eV/atom: 1.1527
&SYSTEM
  ibrav = 0, nat = 6, ntyp = 3
/
ATOMIC_SPECIES
Ba 137.33 Ba.upf
Se 78.96 Se.upf
Br 79.90 Br.upf
ATOMIC_POSITIONS crystal
Ba 0.000 0.000 0.000
Se 0.250 0.250 0.250
Br 0.126 0.625 0.625
Br 0.625 0.126 0.625
Br 0.625 0.625 0.126
Br 0.625 0.625 0.625
CELL_PARAMETERS angstrom
0.000 4.536 4.536
4.536 0.000 4.536
4.536 4.536 0.000


Run two
! PBE-GGA BaSeBr4, relaxed; values from VASP
! Symmetry: No. 82
! DOS at the Fermi energy in states/eV/atom: 0.0000
&SYSTEM
  ibrav = 0, nat = 6, ntyp = 3
/
ATOMIC_SPECIES
Ba 137.33 Ba.upf
Se 78.96 Se.upf
Br 79.90 Br.upf
ATOMIC_POSITIONS crystal
Ba 0.000 0.000 0.000
Se 0.750 0.250 0.500
Br 0.506 0.004 0.012
Br 0.506 0.494 0.498
Br 0.992 0.494 0.988
Br 0.996 0.008 0.502
CELL_PARAMETERS angstrom
-3.803 3.803 4.076
3.803 -3.803 4.076
3.803 3.803 -4.076


Going by the energies, run two is most stable and the next is 764 meV per atom up.


Run one
! PBE-GGA BaSiSe2Br, relaxed; values from VASP
! Symmetry: No. 123
! DOS at the Fermi energy in states/eV/atom: 1.2129
&SYSTEM
  ibrav = 0, nat = 5, ntyp = 4
/
ATOMIC_SPECIES
Ba 137.33 Ba.upf
Si 28.09 Si.upf
Se 78.96 Se.upf
Br 79.90 Br.upf
ATOMIC_POSITIONS crystal
Ba 0.000 0.000 0.000
Si 0.500 0.500 0.500
Se 0.000 0.500 0.000
Se 0.500 0.000 0.000
Br 0.000 0.000 0.500
CELL_PARAMETERS angstrom
6.254 0.000 0.000
0.000 6.254 0.000
0.000 0.000 6.052


Run two
! PBE-GGA BaSiSe2Br, relaxed; values from VASP
! Symmetry: No. 123
! DOS at the Fermi energy in states/eV/atom: 0.5554
&SYSTEM
  ibrav = 0, nat = 5, ntyp = 4
/
ATOMIC_SPECIES
Ba 137.33 Ba.upf
Si 28.09 Si.upf
Se 78.96 Se.upf
Br 79.90 Br.upf
ATOMIC_POSITIONS crystal
Ba 0.000 0.000 0.000
Si 0.500 0.500 0.500
Se 0.000 0.500 0.500
Se 0.500 0.000 0.500
Br 0.500 0.500 0.000
CELL_PARAMETERS angstrom
5.076 0.000 0.000
0.000 5.076 0.000
0.000 0.000 5.291


Going by the energies, run two is most stable and the next is 1288 meV per atom up.